# GGA-PBEsol SrZr2Br, relaxed
data_SrZr2Br
_symmetry_space_group_name_H-M 'P 4/m m m'
_symmetry_Int_Tables_number 123
_symmetry_space_group_name_Hall '-P 4 2'
_cell_length_a 4.114
_cell_length_b 4.114
_cell_length_c 6.740
_cell_angle_alpha 90.00
_cell_angle_beta 90.00
_cell_angle_gamma 90.00
loop_
_atom_site_label
_atom_site_fract_x
_atom_site_fract_y
_atom_site_fract_z
_atom_site_occupancy
Sr1 0.000 0.000 0.000 1
Zr1 0.000 0.500 0.500 1
Br1 0.500 0.500 0.000 1
# energy relative to the lowest polymorph listed for this composition = 22.8 kJ per mole of atoms
# raw formation energy = 0.107 eV per atom
# uncorrected energy = -5.365 eV/atom
# mass density = 5.10 g/cm³